! LiScPb2O6 (PBE-GGA, optimized geometry); values from VASP
&SYSTEM
  ibrav = 0, nat = 10, ntyp = 4
/
ATOMIC_SPECIES
Li 6.94 Li.upf
Sc 44.96 Sc.upf
Pb 207.20 Pb.upf
O 16.00 O.upf
CELL_PARAMETERS angstrom
2.766 1.597 4.935
-2.766 1.597 4.935
0.000 -3.194 4.935
ATOMIC_POSITIONS angstrom
Li 0.000 0.000 0.000
Sc 0.000 0.000 7.295
Pb 0.000 0.000 4.169
Pb 0.000 0.000 11.564
O -1.609 0.028 5.783
O -1.071 -1.538 8.185
O 0.780 -1.408 5.783
O -0.796 1.697 8.185
O 0.829 1.380 5.783
O 1.868 -0.159 8.185
! - E_form (uncorrected): -1.67 eV per atom
! - M_tot: 0.00 μB per cell